The following is a PBE calculation of a relaxed NaHfV2 crystal, from Alexandria.

Results
SG	No. 122
ΔE to the lowest computed polymorph	0.187	eV/atom
spin magnetization	0.0	μB per formula unit

Cell and atoms, written as POSCAR:
```
NaHfV2
1.0
-1.941 1.941 9.711
1.941 -1.941 9.711
1.941 1.941 -9.711
Na Hf V
2 2 4
direct
0.000 0.000 0.000 Na
0.750 0.250 0.500 Na
0.250 0.750 0.500 Hf
0.500 0.500 0.000 Hf
0.150 0.625 0.025 V
0.375 0.400 0.525 V
0.600 0.125 0.975 V
0.875 0.850 0.475 V
```